No. 1
Pm2Y4Ho5 after structural relaxation, computed with GGA-PBE.

a = 10.962 Å, b = 10.962 Å, c = 10.962 Å
α = 161.63°, β = 116.67°, γ = 66.55°
Atoms (fractional coordinates):
Pm1 0.203 0.203 0.000
Pm2 0.797 0.797 0.000
Y1 0.270 0.000 0.270
Y2 0.409 0.409 0.000
Y3 0.591 0.591 0.000
Y4 0.730 0.000 0.730
Ho1 0.000 0.500 0.500
Ho2 0.112 0.821 0.291
Ho3 0.470 0.179 0.291
Ho4 0.530 0.821 0.709
Ho5 0.888 0.179 0.709

Calculated values
- Fermi-level density of states: 14.3 states/eV per cell
- Volume: 369.1 Å³/f.u.
- Symmetry: Immm, No. 71
- Theoretical density: 6.61 g/cm3
- ΔE_f: 0.213 eV/atom
- Spin magnetization: 0.0 μB per formula unit

---

No. 2
HoPaAl4 after structural relaxation, computed with GGA-PBE.

a = 5.539 Å, b = 5.539 Å, c = 5.539 Å
α = 60.00°, β = 60.00°, γ = 60.00°
Atoms (fractional coordinates):
Ho1 0.000 0.000 0.000
Pa1 0.750 0.750 0.750
Al1 0.376 0.376 0.376
Al2 0.376 0.376 0.873
Al3 0.376 0.873 0.376
Al4 0.873 0.376 0.376

Calculated values
- Fermi-level density of states: 4.7 states/eV per cell
- Volume: 120.1 Å³/f.u.
- Symmetry: F-43m, No. 216
- Theoretical density: 6.96 g/cm3
- ΔE_f: -0.340 eV/atom
- Spin magnetization: 0.0 μB per formula unit

---

No. 3
CaB2W after structural relaxation, computed with GGA-PBE.

a = 4.189 Å, b = 4.189 Å, c = 4.189 Å
α = 60.00°, β = 60.00°, γ = 60.00°
Atoms (fractional coordinates):
Ca1 0.000 0.000 0.000
B1 0.250 0.250 0.250
B2 0.750 0.750 0.750
W1 0.500 0.500 0.500

Calculated values
- Fermi-level density of states: 5.0 states/eV per cell
- Volume: 52.0 Å³/f.u.
- Symmetry: Fm-3m, No. 225
- Theoretical density: 7.84 g/cm3
- ΔE_f: 1.017 eV/atom
- Spin magnetization: 0.0 μB per formula unit

---

No. 4
NaTiPd3 after structural relaxation, computed with GGA-PBE.

a = 4.739 Å, b = 4.739 Å, c = 4.739 Å
α = 90.00°, β = 90.00°, γ = 90.00°
Atoms (fractional coordinates):
Na1 0.000 0.000 0.000
Ti1 0.500 0.500 0.500
Pd1 0.000 0.500 0.500
Pd2 0.500 0.000 0.500
Pd3 0.500 0.500 0.000

Calculated values
- Fermi-level density of states: 4.7 states/eV per cell
- Volume: 106.4 Å³/f.u.
- Symmetry: Pm-3m, No. 221
- Theoretical density: 6.09 g/cm3
- ΔE_f: 0.202 eV/atom
- Spin magnetization: 0.0 μB per formula unit

---

- Look up the spin magnetization of the third one.
  0.0 μB per formula unit

---

- What is the formula in the fourth record?
  NaTiPd3